Computed, not measured: Nb2ReBiI after structural relaxation at the PBEsol level of DFT.

Lattice parameters (Å, degrees): 4.929 4.929 5.619 90.00 90.00 90.00
Atoms (fractional coordinates):
1 Nb 0.000 0.500 0.000
2 Nb 0.500 0.000 0.000
3 Re 0.000 0.000 0.500
4 Bi 0.500 0.500 0.500
5 I 0.500 0.500 0.000

Summary:
As for the space group: P4/mmm, No. 123. For the formation energy from raw total energies, the calculation gives 12.9 eV per formula unit.

Computed, not measured: FeCoAg2 after structural relaxation at the PBEsol level of DFT.

Lattice parameters (Å, degrees): 4.604 4.604 4.604 130.63 130.63 72.41
Atoms (fractional coordinates):
1 Fe 0.000 0.000 0.000
2 Co 0.250 0.750 0.500
3 Ag 0.500 0.500 0.000
4 Ag 0.750 0.250 0.500

Summary:
As for the space group: I-4m2, No. 119. Its formation energy is 155 kJ/mol of formula units.

Computed, not measured: ReGe2POs after structural relaxation at the PBEsol level of DFT.

Lattice parameters (Å, degrees): 4.654 4.654 4.800 90.00 90.00 90.00
Atoms (fractional coordinates):
1 Re 0.000 0.000 0.000
2 Ge 0.000 0.500 0.000
3 Ge 0.500 0.000 0.000
4 P 0.500 0.500 0.500
5 Os 0.000 0.000 0.500

Summary:
As for the space group: P4/mmm, No. 123. Its formation energy is 663 kJ/mol of formula units.

In order of appearance, total moment = 2.62 4.44 0.00 Bohr magnetons per cell.
In order of appearance, total energy = -28.08 -21.72 -34.35 eV/cell.